Entry 1:
BaZr2 (SCAN, PBEsol geometry); DOS(E_F) = 1.2280 states/eV/atom; mass density = 6.368 g/cm3; polymorph energy (0 for the lowest one) = 0.0000 eV/atom; total DFT energy (no corrections) = -99.41 eV per formula unit; total magnetic moment = 0.00 μB/f.u.
1.0
-0.830 0.966 3.092
-1.508 -2.643 -1.387
6.073 -5.169 3.247
Zr Ba
2 1
Cartesian
2.581 -4.728 2.171
1.154 -2.118 2.780
0.000 0.000 0.000

Entry 2:
ZrCd2Hg (SCAN, PBEsol geometry); DOS(E_F) = 0.6533 states/eV/atom; mass density = 10.510 g/cm3; total DFT energy (no corrections) = -160.54 eV per formula unit; total magnetic moment = 0.00 μB/f.u.
1.0
4.279 0.000 0.000
0.000 4.279 0.000
0.000 0.000 4.458
Hg Cd Zr
1 2 1
Cartesian
2.139 2.139 2.229
0.000 2.139 0.000
2.139 0.000 0.000
0.000 0.000 2.229